Entry 1:
This record from Alexandria via LeMat-Bulk describes PmGa5Tc after structural relaxation. The functional is GGA-PBE.

Values from the calculation:
- space-group type = P4/mmm, No. 123
- E_form (meV/atom) = -385

Cell: 4.3769 4.3769 7.0813 Å, 90.00 90.00 90.00°
Last column: nearest neighbours and their distance in Å.
Element x y z (fractional)
Tc  0.0000  0.0000  0.5000  8 Ga 2.57
Ga  0.5000  0.0000  0.6912  2 Tc 2.57, 1 Ga 2.71
Ga  0.0000  0.5000  0.3088  2 Tc 2.57, 1 Ga 2.71
Ga  0.5000  0.0000  0.3088  2 Tc 2.57, 1 Ga 2.71
Pm  0.0000  0.0000  0.0000  12 Ga 3.09
Ga  0.5000  0.5000  0.0000  8 Ga 3.09, 4 Pm 3.09
Ga  0.0000  0.5000  0.6912  2 Tc 2.57, 1 Ga 2.71



Entry 2:
This record from Alexandria via LeMat-Bulk describes YTeCl2 after structural relaxation. The functional is GGA-PBE.

Values from the calculation:
- space-group type = P4/mmm, No. 123
- energy relative to the lowest polymorph listed for this composition (meV per atom) = 280
- raw formation energy (meV per atom) = -1327

Cell: 3.2996 3.2997 10.7454 Å, 90.00 90.00 90.00°
Last column: nearest neighbours and their distance in Å.
Element x y z (fractional)
Cl  0.0000  0.0000  0.8980  4 Y 2.82
Y  0.5000  0.5000  0.7500  8 Cl 2.82
Cl  0.0000  0.0000  0.6020  4 Y 2.82
Te  0.5000  0.5000  0.2500  4 Te 3.30



Entry 3:
This record from Alexandria via LeMat-Bulk describes CuMoIr after structural relaxation. The functional is GGA-PBE.

Values from the calculation:
- space-group type = F-43m, No. 216
- energy relative to the lowest polymorph listed for this composition (meV per atom) = 476
- E_form (meV/atom) = 387

Cell: 4.1613 4.1613 4.1613 Å, 60.00 60.00 60.00°
Last column: nearest neighbours and their distance in Å.
Element x y z (fractional)
Ir  0.7500  0.7500  0.7500  4 Cu 2.55, 4 Mo 2.55
Mo  0.0000  0.0000  0.0000  4 Ir 2.55
Cu  0.5000  0.5000  0.5000  4 Ir 2.55



Entry 4:
This record from Alexandria via LeMat-Bulk describes PmBeSnPd after structural relaxation. The functional is GGA-PBE.

Values from the calculation:
- space-group type = F-43m, No. 216
- E_form (meV/atom) = -382

Cell: 4.7811 4.7811 4.7811 Å, 60.00 60.00 60.00°
Last column: nearest neighbours and their distance in Å.
Element x y z (fractional)
Sn  0.2500  0.2500  0.2500  4 Be 2.93, 4 Pd 2.93
Pm  0.7500  0.7500  0.7500  4 Be 2.93, 4 Pd 2.93
Be  0.0000  0.0000  0.0000  4 Sn 2.93, 4 Pm 2.93
Pd  0.5000  0.5000  0.5000  4 Sn 2.93, 4 Pm 2.93



Entry 5:
This record from Alexandria via LeMat-Bulk describes TmPS after structural relaxation. The functional is GGA-PBE.

Values from the calculation:
- space-group type = P4/nmm, No. 129
- raw formation energy (meV per atom) = -1507

Cell: 3.6534 3.6534 8.3776 Å, 90.00 90.00 90.00°
Last column: nearest neighbours and their distance in Å.
Element x y z (fractional)
P  0.0000  0.0000  0.0000  4 P 2.58
S  0.5000  0.0000  0.6251  5 Tm 2.70-2.90
S  0.0000  0.5000  0.3749  5 Tm 2.70-2.90
Tm  0.5000  0.0000  0.2793  5 S 2.70-2.90, 4 P 2.97
Tm  0.0000  0.5000  0.7207  5 S 2.70-2.90, 4 P 2.97
P  0.5000  0.5000  0.0000  4 P 2.58



Entry 6:
This record from Alexandria via LeMat-Bulk describes Nd8Ni3RuI4 after structural relaxation. The functional is GGA-PBE.

Values from the calculation:
- space-group type = R-3m, No. 166
- raw formation energy (meV per atom) = -681

Cell: 8.2735 9.4230 8.2765 Å, 116.07 119.99 90.00°
Last column: nearest neighbours and their distance in Å.
Element x y z (fractional)
Nd  0.2730  0.3190  0.5459  3 Ni 2.80-2.81
I  0.0000  0.0000  0.5000  6 Nd 3.50-3.52
Ni  0.5000  0.5000  0.5000  6 Nd 2.80-2.82
Ni  0.5000  0.5000  0.0000  6 Nd 2.81-2.82
Nd  0.7725  0.3156  0.0431  1 Ru 2.81, 2 Ni 2.82
Nd  0.7270  0.6810  0.4541  3 Ni 2.80-2.81
Nd  0.2706  0.3156  0.0431  1 Ru 2.81, 2 Ni 2.82
Ni  0.0000  0.5000  0.5000  6 Nd 2.80-2.82
Ru  0.0000  0.5000  0.0000  6 Nd 2.81
I  0.5000  0.0000  0.0000  6 Nd 3.51
Nd  0.7725  0.3156  0.5450  1 Ru 2.81, 2 Ni 2.82
I  0.0000  0.0000  0.0000  6 Nd 3.50-3.52
Nd  0.7294  0.6844  0.9569  1 Ru 2.81, 2 Ni 2.82
I  0.5000  0.0000  0.5000  6 Nd 3.50-3.52
Nd  0.2275  0.6844  0.9569  1 Ru 2.81, 2 Ni 2.82
Nd  0.2275  0.6844  0.4550  1 Ru 2.81, 2 Ni 2.82



Entry 7:
This record from Alexandria via LeMat-Bulk describes LaTc2Pt after structural relaxation. The functional is GGA-PBE.

Values from the calculation:
- space-group type = Fm-3m, No. 225
- energy relative to the lowest polymorph listed for this composition (meV per atom) = 501
- E_form (meV/atom) = 372

Cell: 4.6581 4.6581 4.6581 Å, 60.00 60.00 60.00°
Last column: nearest neighbours and their distance in Å.
Element x y z (fractional)
Tc  0.2500  0.2500  0.2500  4 La 2.85, 4 Pt 2.85
La  0.0000  0.0000  0.0000  8 Tc 2.85
Pt  0.5000  0.5000  0.5000  8 Tc 2.85
Tc  0.7500  0.7500  0.7500  4 Pt 2.85, 4 La 2.85



Entry 8:
This record from Alexandria via LeMat-Bulk describes Sm2GdTm after structural relaxation. The functional is GGA-PBE.

Values from the calculation:
- space-group type = P4/mmm, No. 123
- energy relative to the lowest polymorph listed for this composition (meV per atom) = 0
- E_form (meV/atom) = 16

Cell: 5.0498 5.0669 5.0669 Å, 90.00 90.00 90.00°
Last column: nearest neighbours and their distance in Å.
Element x y z (fractional)
Gd  0.5000  0.5000  0.5000  8 Sm 3.58, 4 Tm 3.58
Sm  0.0000  0.5000  0.0000  4 Gd 3.58, 4 Tm 3.58, 4 Sm 3.58
Tm  0.5000  0.0000  0.0000  8 Sm 3.58, 4 Gd 3.58
Sm  0.0000  0.0000  0.5000  4 Gd 3.58, 4 Tm 3.58, 4 Sm 3.58



Entry 9:
This record from Alexandria via LeMat-Bulk describes Ce3ErCl after structural relaxation. The functional is GGA-PBE.

Values from the calculation:
- space-group type = Pm-3m, No. 221
- raw formation energy (meV per atom) = -351

Cell: 5.3379 5.3379 5.3379 Å, 90.00 90.00 90.00°
Last column: nearest neighbours and their distance in Å.
Element x y z (fractional)
Er  0.5000  0.5000  0.5000  12 Ce 3.77
Ce  0.5000  0.0000  0.0000  2 Cl 2.67
Cl  0.0000  0.0000  0.0000  6 Ce 2.67
Ce  0.0000  0.0000  0.5000  2 Cl 2.67
Ce  0.0000  0.5000  0.0000  2 Cl 2.67



Entry 10:
This record from Alexandria via LeMat-Bulk describes Pm2ThCd5 after structural relaxation. The functional is GGA-PBE.

Values from the calculation:
- space-group type = I4/mmm, No. 139
- E_form (meV/atom) = -227

Cell: 5.2607 5.2607 8.5284 Å, 107.96 107.96 90.00°
Last column: nearest neighbours and their distance in Å.
Element x y z (fractional)
Pm  0.2629  0.2629  0.5258  8 Cd 3.19-3.43
Pm  0.7371  0.7371  0.4742  8 Cd 3.19-3.43
Cd  0.6199  0.1199  0.2398  4 Pm 3.19-3.43, 2 Th 3.21, 2 Cd 3.21
Cd  0.1199  0.6199  0.2398  4 Pm 3.19-3.43, 2 Cd 3.21, 2 Th 3.21
Cd  0.3801  0.8801  0.7602  4 Pm 3.19-3.43, 2 Cd 3.21, 2 Th 3.21
Th  0.0000  0.0000  0.0000  8 Cd 3.21
Cd  0.8801  0.3801  0.7602  4 Pm 3.19-3.43, 2 Th 3.21, 2 Cd 3.21
Cd  0.5000  0.5000  0.0000  8 Cd 3.21



Entry 11:
This record from Alexandria via LeMat-Bulk describes NdDy2Er after structural relaxation. The functional is GGA-PBE.

Values from the calculation:
- space-group type = P4/mmm, No. 123
- energy relative to the lowest polymorph listed for this composition (meV per atom) = 16
- E_form (meV/atom) = 23

Cell: 3.5664 3.5664 10.1047 Å, 90.00 90.00 90.00°
Last column: nearest neighbours and their distance in Å.
Element x y z (fractional)
Nd  0.5000  0.5000  0.5000  4 Nd 3.57, 8 Dy 3.61
Dy  0.0000  0.0000  0.7557  4 Er 3.53, 4 Dy 3.57, 4 Nd 3.61
Dy  0.0000  0.0000  0.2443  4 Er 3.53, 4 Dy 3.57, 4 Nd 3.61
Er  0.5000  0.5000  0.0000  8 Dy 3.53, 4 Er 3.57



Entry 12:
This record from Alexandria via LeMat-Bulk describes AgHgI2 after structural relaxation. The functional is GGA-PBE.

Values from the calculation:
- space-group type = P1, No. 1
- energy relative to the lowest polymorph listed for this composition (meV per atom) = 0
- raw formation energy (meV per atom) = -236

Cell: 4.5920 6.4962 10.9675 Å, 81.69 80.23 86.70°
Last column: nearest neighbours and their distance in Å.
Element x y z (fractional)
Hg  0.0247  0.1115  0.0752  1 Hg 2.67, 1 I 2.78
I  0.5114  0.9258  0.9396  1 Hg 2.78, 1 Ag 2.94
Ag  0.1576  0.7783  0.5406  4 I 2.80-2.91
Ag  0.5816  0.2569  0.7252  4 I 2.83-2.94
I  0.0459  0.4980  0.7608  3 Ag 2.80-2.84
Hg  0.7032  0.3210  0.2472  1 Hg 2.67, 1 I 2.84
I  0.2172  0.5969  0.3096  1 Hg 2.84, 1 Ag 2.91
I  0.6445  0.0463  0.5108  3 Ag 2.85-2.88, 1 Hg 3.15



Entry 13:
This record from Alexandria via LeMat-Bulk describes LaTi2Mo after structural relaxation. The functional is GGA-PBE.

Values from the calculation:
- space-group type = P4/mmm, No. 123
- energy relative to the lowest polymorph listed for this composition (meV per atom) = 0
- E_form (meV/atom) = 90

Cell: 3.2658 3.2658 7.8523 Å, 90.00 90.00 90.00°
Last column: nearest neighbours and their distance in Å.
Element x y z (fractional)
Ti  0.0000  0.0000  0.8194  4 Mo 2.71, 1 Ti 2.84
Ti  0.0000  0.0000  0.1806  4 Mo 2.71, 1 Ti 2.84
Mo  0.5000  0.5000  0.0000  8 Ti 2.71
La  0.5000  0.5000  0.5000  4 La 3.27, 8 Ti 3.41



Number 1: V 19.38 A^3/atom, calculated density 7.24 g/cm3. Number 2: V 29.25 A^3/atom, calculated density 4.08 g/cm3. Number 3: V 16.99 A^3/atom, calculated density 11.46 g/cm3. Number 4: V 19.32 A^3/atom, calculated density 8.15 g/cm3. Number 5: V 18.64 A^3/atom, calculated density 6.89 g/cm3. Number 6: V 30.10 A^3/atom, calculated density 6.68 g/cm3. Number 7: V 17.87 A^3/atom, calculated density 12.31 g/cm3. Number 8: V 32.41 A^3/atom, calculated density 8.03 g/cm3. Number 9: V 30.42 A^3/atom, calculated density 6.80 g/cm3. Number 10: V 26.55 A^3/atom, calculated density 8.48 g/cm3. Number 11: V 32.13 A^3/atom, calculated density 8.22 g/cm3. Number 12: V 39.86 A^3/atom, calculated density 5.86 g/cm3. Number 13: V 20.94 A^3/atom, calculated density 6.55 g/cm3.